VASP calculation (GGA-PBE) on a relaxed ErAl2AgAu2 crystal.

* volume: 18.98 Å³/atom
* spin magnetization: 0.000 μB per cell
* energy relative to the elements: -0.5563 eV/atom

Cell lengths 4.470, 4.470, 6.580 Å; angles 90.00, 90.00, 120.00 degrees
Element x y z (fractional)
Er  0.000  0.000  0.000
Al  0.333  0.667  0.689
Al  0.667  0.333  0.311
Ag  0.000  0.000  0.500
Au  0.333  0.667  0.254
Au  0.667  0.333  0.746

---

VASP calculation (GGA-PBE) on a relaxed PaTaNi6 crystal.

* volume: 14.89 Å³/atom
* spin magnetization: 0.000 μB per cell
* energy relative to the elements: 0.0100 eV/atom

Cell lengths 4.962, 4.962, 4.962 Å; angles 82.24, 82.24, 82.24 degrees
Element x y z (fractional)
Pa  0.000  0.000  0.000
Ta  0.500  0.500  0.500
Ni  0.020  0.654  0.654
Ni  0.346  0.346  0.980
Ni  0.346  0.980  0.346
Ni  0.654  0.020  0.654
Ni  0.654  0.654  0.020
Ni  0.980  0.346  0.346

---

VASP calculation (GGA-PBE) on a relaxed LiAc6Ru2I3 crystal.

* volume: 37.46 Å³/atom
* spin magnetization: 0.000 μB per cell

Cell lengths 7.681, 7.681, 9.164 Å; angles 98.03, 98.03, 120.00 degrees
Element x y z (fractional)
Li  0.000  0.000  0.000
Ac  0.064  0.431  0.190
Ac  0.304  0.304  0.811
Ac  0.431  0.064  0.190
Ac  0.569  0.936  0.810
Ac  0.696  0.696  0.189
Ac  0.936  0.569  0.810
Ru  0.333  0.667  0.000
Ru  0.667  0.333  0.000
I  0.164  0.836  0.500
I  0.500  0.500  0.500
I  0.836  0.164  0.500

---

VASP calculation (GGA-PBE) on a relaxed La8DyEr3 crystal.

* volume: 37.27 Å³/atom
* spin magnetization: 0.000 μB per cell
* energy relative to the elements: 0.3337 eV/atom

Cell lengths 8.855, 8.855, 8.855 Å; angles 135.84, 101.31, 94.97 degrees
Element x y z (fractional)
La  0.092  0.248  0.841
La  0.225  0.727  0.011
La  0.283  0.273  0.498
La  0.407  0.251  0.159
La  0.593  0.752  0.844
La  0.717  0.215  0.989
La  0.775  0.785  0.502
La  0.908  0.749  0.156
Dy  0.500  0.500  0.000
Er  0.000  0.000  0.000
Er  0.236  0.736  0.500
Er  0.764  0.264  0.500

---

VASP calculation (GGA-PBE) on a relaxed La8CoAg2 crystal.

* volume: 32.01 Å³/atom
* spin magnetization: 0.000 μB per cell
* energy relative to the elements: -0.0961 eV/atom
* relative energy among the computed polymorphs: 0.000 eV/atom

Cell lengths 9.716, 9.716, 9.377 Å; angles 95.44, 95.44, 23.55 degrees
Element x y z (fractional)
La  0.006  0.006  0.201
La  0.215  0.215  0.344
La  0.348  0.348  0.991
La  0.410  0.410  0.484
La  0.590  0.590  0.516
La  0.652  0.652  0.009
La  0.785  0.785  0.656
La  0.994  0.994  0.799
Co  0.500  0.500  0.000
Ag  0.170  0.170  0.748
Ag  0.830  0.830  0.252

---

VASP calculation (GGA-PBE) on a relaxed Hf2Al2Ga5 crystal.

* volume: 18.41 Å³/atom
* spin magnetization: 0.000 μB per cell
* energy relative to the elements: -0.1239 eV/atom

Cell lengths 8.081, 8.081, 8.081 Å; angles 79.41, 125.73, 126.85 degrees
Element x y z (fractional)
Hf  0.000  0.000  0.000
Hf  0.000  0.500  0.500
Hf  0.032  0.788  0.744
Hf  0.044  0.288  0.256
Al  0.259  0.445  0.988
Al  0.259  0.770  0.314
Al  0.456  0.270  0.012
Al  0.456  0.945  0.686
Ga  0.311  0.182  0.629
Ga  0.487  0.305  0.382
Ga  0.487  0.605  0.682
Ga  0.553  0.682  0.371
Ga  0.561  0.044  0.225
Ga  0.561  0.836  0.017
Ga  0.819  0.336  0.775
Ga  0.819  0.544  0.983
Ga  0.923  0.105  0.618
Ga  0.923  0.805  0.318

---

VASP calculation (GGA-PBE) on a relaxed SrFe4Os crystal.

* volume: 15.31 Å³/atom
* spin magnetization: 11.623 μB per cell
* energy relative to the elements: 0.5848 eV/atom

Cell lengths 5.065, 5.065, 5.065 Å; angles 60.00, 60.00, 60.00 degrees
Element x y z (fractional)
Sr  0.000  0.000  0.000
Fe  0.127  0.624  0.624
Fe  0.624  0.127  0.624
Fe  0.624  0.624  0.127
Fe  0.624  0.624  0.624
Os  0.250  0.250  0.250

---

VASP calculation (GGA-PBE) on a relaxed AlHg3Ir crystal.

* volume: 29.01 Å³/atom
* spin magnetization: 0.000 μB per cell
* energy relative to the elements: 0.5359 eV/atom
* relative energy among the computed polymorphs: 0.000 eV/atom

Cell lengths 5.254, 5.254, 5.254 Å; angles 90.00, 90.00, 90.00 degrees
Element x y z (fractional)
Al  0.000  0.000  0.000
Hg  0.000  0.500  0.500
Hg  0.500  0.000  0.500
Hg  0.500  0.500  0.000
Ir  0.500  0.500  0.500

---

VASP calculation (GGA-PBE) on a relaxed AgSn2Pd2 crystal.

* volume: 20.32 Å³/atom
* spin magnetization: 0.000 μB per cell
* energy relative to the elements: -0.3748 eV/atom
* relative energy among the computed polymorphs: 0.000 eV/atom

Cell lengths 4.639, 7.153, 7.160 Å; angles 99.84, 108.52, 108.76 degrees
Element x y z (fractional)
Ag  0.001  0.250  0.250
Ag  0.999  0.750  0.750
Sn  0.330  0.246  0.920
Sn  0.332  0.746  0.420
Sn  0.668  0.254  0.580
Sn  0.670  0.754  0.080
Pd  0.334  0.495  0.672
Pd  0.335  0.995  0.172
Pd  0.665  0.005  0.828
Pd  0.666  0.505  0.328

---

VASP calculation (GGA-PBE) on a relaxed CeNd2Ir crystal.

* volume: 34.33 Å³/atom
* spin magnetization: 2.104 μB per cell
* energy relative to the elements: 0.0043 eV/atom
* relative energy among the computed polymorphs: 0.436 eV/atom

Cell lengths 10.897, 10.897, 10.897 Å; angles 20.38, 20.38, 20.38 degrees
Element x y z (fractional)
Ce  0.000  0.000  0.000
Nd  0.113  0.113  0.113
Nd  0.887  0.887  0.887
Ir  0.500  0.500  0.500

---

VASP calculation (GGA-PBE) on a relaxed MgZrCd4 crystal.

* volume: 22.19 Å³/atom
* spin magnetization: 0.603 μB per cell
* energy relative to the elements: 0.0980 eV/atom
* relative energy among the computed polymorphs: 0.191 eV/atom

Cell lengths 5.732, 5.732, 5.732 Å; angles 60.00, 60.00, 60.00 degrees
Element x y z (fractional)
Mg  0.000  0.000  0.000
Zr  0.750  0.750  0.750
Cd  0.376  0.376  0.376
Cd  0.376  0.376  0.873
Cd  0.376  0.873  0.376
Cd  0.873  0.376  0.376

---

VASP calculation (GGA-PBE) on a relaxed LaTlW2 crystal.

* volume: 22.44 Å³/atom
* spin magnetization: 0.000 μB per cell
* energy relative to the elements: 0.3364 eV/atom
* relative energy among the computed polymorphs: 0.000 eV/atom

Cell lengths 3.310, 3.330, 8.144 Å; angles 90.00, 90.00, 90.00 degrees
Element x y z (fractional)
La  0.000  0.000  0.000
Tl  0.500  0.500  0.319
W  0.000  0.000  0.570
W  0.500  0.500  0.722

---

no.,E (eV per atom)
1,-4.132
2,-6.995
3,-4.796
4,-4.475
5,-4.844
6,-4.849
7,-7.209
8,-2.166
9,-4.623
10,-6.078
11,-2.202
12,-7.964